Density functional theory data (PBE-GGA) for an optimized crystal structure of K3H4I4.

Calculated values
- Electronic total energy: -2.38 eV/atom

a = 10.1423 Å, b = 10.1423 Å, c = 10.1423 Å
α = 149.21°, β = 134.06°, γ = 56.32°
With the nearest neighbours (Å) after each atom.
Element x y z (fractional)
K 0.1915 0.1915 0.0000  2 I 3.43, 4 H 3.44
K 0.8085 0.8085 0.0000  2 I 3.43, 4 H 3.44
K 0.5000 0.0000 0.5000  6 I 3.39-3.50
H 0.0816 0.3955 0.6861  1 I 1.88
H 0.2905 0.6045 0.6861  1 I 1.88
H 0.9184 0.6045 0.3139  1 I 1.88
H 0.7095 0.3955 0.3139  1 I 1.88
I 0.6896 0.1896 0.5000  3 K 3.39-3.43
I 0.3104 0.8104 0.5000  3 K 3.39-3.43
I 0.7825 0.5000 0.2825  2 H 1.88
I 0.2175 0.5000 0.7175  2 H 1.88